1.
Below is crystalline NiAgW2 at its relaxed geometry, with properties calculated at the PBE level.

Calculated values
- E: -8.1648 eV per atom
- Crystal system: monoclinic
- DOS(E_F): 3.8 states/eV/cell
- Calculated formation energy: 0.470 eV per atom
- Excess energy over the best structure of this formula in the dataset: 0.86 eV/f.u.

Cell: 4.9922 4.9922 4.5550 Å, 77.15 77.15 33.63°
Atoms (fractional coordinates):
Ag: 0.7500 0.7500 0.7500
Ni: 0.2500 0.2500 0.2500
W: 0.9918 0.9918 0.0116
W: 0.5082 0.5082 0.4884

***

2.
Below is crystalline AgAsW2 at its relaxed geometry, with properties calculated at the PBE level.

Calculated values
- E: -7.5339 eV per atom
- Crystal system: cubic
- DOS(E_F): 2.8 states/eV/cell
- Calculated formation energy: 0.818 eV per atom

Cell: 4.5522 4.5522 4.5522 Å, 60.00 60.00 60.00°
Atoms (fractional coordinates):
As: 0.7500 0.7500 0.7500
Ag: 0.5000 0.5000 0.5000
W: 0.0000 0.0000 0.0000
W: 0.2500 0.2500 0.2500

***

3.
Below is crystalline Sm3ErTm3Te8 at its relaxed geometry, with properties calculated at the PBE level.

Calculated values
- E: -5.1710 eV per atom
- Crystal system: trigonal
- Formation energy without anion corrections: -1353.1 meV per atom
- DOS(E_F): 6.7 states/eV/cell

Cell: 8.6947 8.6949 8.7288 Å, 119.87 90.00 120.00°
Atoms (fractional coordinates):
Sm: 0.0000 0.0000 0.0000
Sm: 0.0000 0.5000 0.0000
Sm: 0.5000 0.5000 0.0000
Er: 0.0000 0.0000 0.5000
Tm: 0.5000 0.0000 0.5000
Tm: 0.5000 0.5000 0.5000
Tm: 0.0000 0.5000 0.5000
Te: 0.2539 0.5077 0.2616
Te: 0.7461 0.4923 0.7384
Te: 0.7469 0.4939 0.2548
Te: 0.2531 0.5061 0.7452
Te: 0.7469 0.0078 0.2548
Te: 0.2531 0.9922 0.7452
Te: 0.2609 0.0078 0.2548
Te: 0.7391 0.9922 0.7452

***

4.
Below is crystalline NbCrSN2 at its relaxed geometry, with properties calculated at the PBE level.

Calculated values
- E: -7.7109 eV per atom
- Crystal system: tetragonal
- Formation energy without anion corrections: 383.3 meV per atom
- DOS(E_F): 4.0 states/eV/cell
- Excess energy over the best structure of this formula in the dataset: 0.35 eV/f.u.

Cell: 3.6793 3.6793 4.5796 Å, 90.00 90.00 90.00°
Atoms (fractional coordinates):
Cr: 0.0000 0.0000 0.0000
Nb: 0.5000 0.5000 0.5000
S: 0.0000 0.0000 0.5000
N: 0.0000 0.5000 0.0000
N: 0.5000 0.0000 0.0000

***

5.
Below is crystalline PmSbF at its relaxed geometry, with properties calculated at the PBE level.

Calculated values
- E: -5.6388 eV per atom
- Crystal system: orthorhombic
- Formation energy without anion corrections: -2057.4 meV per atom
- DOS(E_F): 2.4 states/eV/cell
- Excess energy over the best structure of this formula in the dataset: 0.16 eV/f.u.

Cell: 4.1736 6.4165 6.4717 Å, 119.72 90.00 90.00°
Atoms (fractional coordinates):
Pm: 0.7523 0.1564 0.3068
Pm: 0.2522 0.8513 0.6964
Sb: 0.7521 0.6148 0.2238
Sb: 0.2523 0.3929 0.7794
F: 0.7522 0.9384 0.8695
F: 0.2523 0.0693 0.1337

***

6.
Below is crystalline AsPb2Se at its relaxed geometry, with properties calculated at the PBE level.

Calculated values
- E: -3.9006 eV per atom
- Crystal system: cubic
- Formation energy without anion corrections: -13.0 meV per atom
- DOS(E_F): 3.7 states/eV/cell
- Excess energy over the best structure of this formula in the dataset: 0.77 eV/f.u.

Cell: 5.2970 5.2970 5.2970 Å, 60.00 60.00 60.00°
Atoms (fractional coordinates):
Pb: 0.2500 0.2500 0.2500
Pb: 0.7500 0.7500 0.7500
As: 0.0000 0.0000 0.0000
Se: 0.5000 0.5000 0.5000

***

7.
Below is crystalline LiTc at its relaxed geometry, with properties calculated at the PBE level.

Calculated values
- E: -5.8896 eV per atom
- Crystal system: monoclinic
- DOS(E_F): 5.0 states/eV/cell
- Calculated formation energy: 0.250 eV per atom
- Excess energy over the best structure of this formula in the dataset: 0.31 eV/f.u.

Cell: 5.0452 5.0452 6.3932 Å, 73.79 73.79 35.04°
Atoms (fractional coordinates):
Li: 0.9734 0.9734 0.0566
Li: 0.3049 0.3049 0.3870
Li: 0.6388 0.6388 0.2227
Tc: 0.6391 0.6391 0.7217
Tc: 0.9737 0.9737 0.5883
Tc: 0.3036 0.3036 0.8570

***

8.
Below is crystalline TaSe2NF at its relaxed geometry, with properties calculated at the PBE level.

Calculated values
- E: -4.6217 eV per atom
- Crystal system: tetragonal
- Formation energy without anion corrections: 1182.0 meV per atom
- DOS(E_F): 2.8 states/eV/cell
- Excess energy over the best structure of this formula in the dataset: 6.07 eV/f.u.

Cell: 4.5301 4.5301 3.7299 Å, 90.00 90.00 90.00°
Atoms (fractional coordinates):
N: 0.0000 0.0000 0.5000
F: 0.0000 0.0000 0.0000
Se: 0.0000 0.5000 0.0000
Se: 0.5000 0.0000 0.0000
Ta: 0.5000 0.5000 0.5000

***

9.
Below is crystalline Sc2CdIO8 at its relaxed geometry, with properties calculated at the PBE level.

Calculated values
- E: -6.2293 eV per atom
- Crystal system: monoclinic
- Formation energy without anion corrections: -1663.2 meV per atom
- DOS(E_F): 6.7 states/eV/cell

Cell: 4.8037 4.8010 6.6291 Å, 90.00 90.00 91.32°
Atoms (fractional coordinates):
Sc: 0.5000 0.5000 0.7466
Sc: 0.5000 0.5000 0.2534
Cd: 0.0000 0.0000 0.5000
I: 0.0000 0.0000 0.0000
O: 0.1896 0.8088 0.2080
O: 0.7148 0.7164 0.0000
O: 0.8103 0.1910 0.2080
O: 0.8104 0.1912 0.7920
O: 0.2852 0.2836 0.0000
O: 0.1897 0.8090 0.7920
O: 0.6795 0.6808 0.5000
O: 0.3205 0.3192 0.5000

***

10.
Below is crystalline Nd2Zn2Pd at its relaxed geometry, with properties calculated at the PBE level.

Calculated values
- E: -3.9459 eV per atom
- Crystal system: orthorhombic
- DOS(E_F): 4.3 states/eV/cell
- Calculated formation energy: -0.491 eV per atom
- Excess energy over the best structure of this formula in the dataset: 0.09 eV/f.u.

Cell: 3.8232 4.2825 7.4392 Å, 106.73 90.00 90.00°
Atoms (fractional coordinates):
Nd: 0.0000 0.6830 0.3661
Nd: 0.0000 0.9340 0.8681
Zn: 0.5000 0.3082 0.6163
Zn: 0.5000 0.5047 0.0093
Pd: 0.5000 0.1122 0.2244

***

11.
Below is crystalline YRuIN2 at its relaxed geometry, with properties calculated at the PBE level.

Calculated values
- E: -5.4642 eV per atom
- Crystal system: tetragonal
- Formation energy without anion corrections: 1324.0 meV per atom
- DOS(E_F): 6.0 states/eV/cell
- Excess energy over the best structure of this formula in the dataset: 3.58 eV/f.u.

Cell: 4.3992 4.3992 6.2010 Å, 90.00 90.00 90.00°
Atoms (fractional coordinates):
I: 0.0000 0.0000 0.5000
Ru: 0.5000 0.5000 0.5000
Y: 0.0000 0.0000 0.0000
N: 0.0000 0.5000 0.0000
N: 0.5000 0.0000 0.0000

***

12.
Below is crystalline In5As3S3 at its relaxed geometry, with properties calculated at the PBE level.

Calculated values
- E: -3.9918 eV per atom
- Crystal system: orthorhombic
- Formation energy without anion corrections: -353.3 meV per atom
- DOS(E_F): 0.2 states/eV/cell

Cell: 4.2322 6.0814 12.6752 Å, 90.00 90.00 90.00°
Atoms (fractional coordinates):
In: 0.0000 0.9898 0.1538
In: 0.0000 0.9898 0.8462
In: 0.0000 0.0184 0.5000
In: 0.5000 0.5129 0.6750
In: 0.5000 0.5129 0.3250
As: 0.0000 0.2528 0.6770
As: 0.5000 0.7566 0.5000
As: 0.0000 0.2528 0.3230
S: 0.5000 0.7444 0.1592
S: 0.0000 0.2251 0.0000
S: 0.5000 0.7444 0.8408

***

13.
Below is crystalline TcW5 at its relaxed geometry, with properties calculated at the PBE level.

Calculated values
- E: -12.4974 eV per atom
- Crystal system: orthorhombic
- DOS(E_F): 3.8 states/eV/cell
- Calculated formation energy: 0.025 eV per atom
- Excess energy over the best structure of this formula in the dataset: 0.00 eV/f.u.

Cell: 3.1749 4.4755 7.0829 Å, 108.42 90.00 90.00°
Atoms (fractional coordinates):
Tc: 0.0000 0.0000 0.0000
W: 0.0000 0.6656 0.3311
W: 0.0000 0.3344 0.6689
W: 0.5000 0.5000 0.0000
W: 0.5000 0.1668 0.3337
W: 0.5000 0.8332 0.6663

***

14.
Below is crystalline Bi2W2Se at its relaxed geometry, with properties calculated at the PBE level.

Calculated values
- E: -6.3294 eV per atom
- Crystal system: tetragonal
- Formation energy without anion corrections: 1101.1 meV per atom
- DOS(E_F): 7.6 states/eV/cell

Cell: 9.0261 9.0261 3.0745 Å, 90.00 90.00 90.00°
Atoms (fractional coordinates):
Se: 0.0000 0.0000 0.0000
Se: 0.5000 0.5000 0.0000
Bi: 0.3160 0.8160 0.0000
Bi: 0.8160 0.6840 0.0000
Bi: 0.6840 0.1840 0.0000
Bi: 0.1840 0.3160 0.0000
W: 0.0909 0.5909 0.5000
W: 0.5909 0.9091 0.5000
W: 0.9091 0.4091 0.5000
W: 0.4091 0.0909 0.5000

***

15.
Below is crystalline NaInGaAg at its relaxed geometry, with properties calculated at the PBE level.

Calculated values
- E: -2.4870 eV per atom
- Crystal system: trigonal
- DOS(E_F): 1.1 states/eV/cell
- Calculated formation energy: -0.003 eV per atom
- Excess energy over the best structure of this formula in the dataset: 0.14 eV/f.u.

Cell: 4.7097 4.7081 5.1238 Å, 89.96 90.00 120.01°
Atoms (fractional coordinates):
Na: 0.5721 0.1441 0.4252
In: 0.9051 0.8101 0.9154
Ga: 0.2383 0.4765 0.7006
Ag: 0.2389 0.4779 0.1979

***

16.
Below is crystalline K3Pm2BiO6 at its relaxed geometry, with properties calculated at the PBE level.

Calculated values
- E: -6.0881 eV per atom
- Crystal system: monoclinic
- Formation energy without anion corrections: -2219.5 meV per atom
- DOS(E_F): 0.0 states/eV/cell

Cell: 6.2527 6.2527 6.6394 Å, 99.02 99.02 120.00°
Atoms (fractional coordinates):
K: 0.1640 0.8360 0.5000
K: 0.8360 0.1640 0.5000
K: 0.5000 0.5000 0.5000
Pm: 0.3332 0.6668 0.0000
Pm: 0.6668 0.3332 0.0000
Bi: 0.0000 0.0000 0.0000
O: 0.9353 0.5953 0.8057
O: 0.7247 0.7247 0.1941
O: 0.0647 0.4047 0.1943
O: 0.5953 0.9353 0.8057
O: 0.2753 0.2753 0.8059
O: 0.4047 0.0647 0.1943

***

17.
Below is crystalline Pm2InHPt6 at its relaxed geometry, with properties calculated at the PBE level.

Calculated values
- E: -5.8829 eV per atom
- Crystal system: monoclinic
- DOS(E_F): 4.3 states/eV/cell

Cell: 5.7107 7.2832 7.2829 Å, 46.17 66.91 90.01°
Atoms (fractional coordinates):
Pm: 0.7785 0.2218 0.4437
Pm: 0.2215 0.7782 0.5563
In: 0.5000 0.5000 0.0000
H: 0.0000 0.0000 0.0000
Pt: 0.2271 0.2739 0.5469
Pt: 0.7268 0.7733 0.0471
Pt: 0.2270 0.7735 0.0480
Pt: 0.7730 0.2265 0.9520
Pt: 0.2732 0.2267 0.9529
Pt: 0.7729 0.7261 0.4531

***

18.
Below is crystalline SmDy2In3Se6 at its relaxed geometry, with properties calculated at the PBE level.

Calculated values
- E: -4.8864 eV per atom
- Crystal system: monoclinic
- Formation energy without anion corrections: -1299.3 meV per atom

Cell: 7.2371 7.2371 8.1083 Å, 98.56 98.56 119.99°
Atoms (fractional coordinates):
Sm: 0.0000 0.0000 0.0000
Dy: 0.3333 0.6667 0.0000
Dy: 0.6667 0.3333 0.0000
In: 0.1656 0.8344 0.5000
In: 0.8344 0.1656 0.5000
In: 0.5000 0.5000 0.5000
Se: 0.9299 0.5911 0.7898
Se: 0.7308 0.7308 0.2087
Se: 0.0701 0.4089 0.2102
Se: 0.5911 0.9299 0.7898
Se: 0.2692 0.2692 0.7913
Se: 0.4089 0.0701 0.2102

***

19.
Below is crystalline MnCoN2 at its relaxed geometry, with properties calculated at the PBE level.

Calculated values
- E: -8.3758 eV per atom
- Crystal system: trigonal
- Formation energy without anion corrections: -144.2 meV per atom
- DOS(E_F): 3.9 states/eV/cell
- Excess energy over the best structure of this formula in the dataset: 0.02 eV/f.u.

Cell: 5.2013 5.2013 5.2013 Å, 33.76 33.76 33.76°
Atoms (fractional coordinates):
Mn: 0.8140 0.8140 0.8140
Co: 0.3087 0.3087 0.3087
N: 0.9341 0.9341 0.9341
N: 0.4386 0.4386 0.4386

***

20.
Below is crystalline Na2SnWBr at its relaxed geometry, with properties calculated at the PBE level.

Calculated values
- E: -3.1613 eV per atom
- Crystal system: tetragonal
- Formation energy without anion corrections: 1092.1 meV per atom
- DOS(E_F): 2.9 states/eV/cell

Cell: 6.0320 4.6957 6.0320 Å, 90.00 90.00 90.00°
Atoms (fractional coordinates):
Na: 0.0000 0.0000 0.5000
Na: 0.5000 0.0000 0.0000
Br: 0.0000 0.5000 0.0000
Sn: 0.5000 0.5000 0.5000
W: 0.0000 0.0000 0.0000

***

21.
Below is crystalline CaO at its relaxed geometry, with properties calculated at the PBE level.

Calculated values
- E: -6.2212 eV per atom
- Crystal system: tetragonal
- Formation energy without anion corrections: -2741.3 meV per atom
- DOS(E_F): 0.0 states/eV/cell

Cell: 9.3255 9.3255 3.9601 Å, 90.00 90.00 90.00°
Atoms (fractional coordinates):
Ca: 0.3815 0.2054 0.0000
Ca: 0.6185 0.7946 0.0000
Ca: 0.7946 0.3815 0.0000
Ca: 0.2054 0.6185 0.0000
Ca: 0.8815 0.7054 0.5000
Ca: 0.1185 0.2946 0.5000
Ca: 0.2946 0.8815 0.5000
Ca: 0.7054 0.1185 0.5000
O: 0.3783 0.7948 0.0000
O: 0.6217 0.2052 0.0000
O: 0.2052 0.3783 0.0000
O: 0.7948 0.6217 0.0000
O: 0.8783 0.2948 0.5000
O: 0.1217 0.7052 0.5000
O: 0.7052 0.8783 0.5000
O: 0.2948 0.1217 0.5000

***

22.
Below is crystalline CaTlTe2SeF at its relaxed geometry, with properties calculated at the PBE level.

Calculated values
- E: -3.9255 eV per atom
- Crystal system: triclinic
- Formation energy without anion corrections: -1257.7 meV per atom
- Excess energy over the best structure of this formula in the dataset: 0.12 eV/f.u.

Cell: 4.1342 6.6325 7.2174 Å, 71.77 76.04 75.73°
Atoms (fractional coordinates):
Tl: 0.1379 0.8608 0.6335
Te: 0.6806 0.0124 0.2073
Te: 0.2638 0.2148 0.8932
Ca: 0.8556 0.4933 0.2070
Se: 0.7449 0.4409 0.6376
F: 0.3544 0.5824 0.1310

***

23.
Below is crystalline CaAcInNi at its relaxed geometry, with properties calculated at the PBE level.

Calculated values
- E: -3.8105 eV per atom
- Crystal system: cubic
- DOS(E_F): 3.9 states/eV/cell
- Calculated formation energy: -0.153 eV per atom

Cell: 5.4029 5.4029 5.4029 Å, 60.00 60.00 60.00°
Atoms (fractional coordinates):
Ni: 0.2500 0.2500 0.2500
Ac: 0.0000 0.0000 0.0000
Ca: 0.5000 0.5000 0.5000
In: 0.7500 0.7500 0.7500

***

24.
Below is crystalline La4PmAu at its relaxed geometry, with properties calculated at the PBE level.

Calculated values
- E: -4.7440 eV per atom
- Crystal system: monoclinic
- DOS(E_F): 16.7 states/eV/cell
- Calculated formation energy: -0.121 eV per atom
- Excess energy over the best structure of this formula in the dataset: 0.76 eV/f.u.

Cell: 6.3146 7.2211 10.8753 Å, 99.93 96.19 123.35°
Atoms (fractional coordinates):
La: 0.2139 0.9658 0.4287
La: 0.9670 0.8404 0.0979
La: 0.2852 0.5370 0.5713
La: 0.3690 0.7425 0.9021
La: 0.7861 0.0342 0.5713
La: 0.7148 0.4630 0.4287
La: 0.0330 0.1596 0.9021
La: 0.6310 0.2575 0.0979
Pm: 0.3687 0.6187 0.2374
Pm: 0.6313 0.3813 0.7626
Au: 0.9007 0.1507 0.3014
Au: 0.0993 0.8493 0.6986

***

25.
Below is crystalline AlPPbS2 at its relaxed geometry, with properties calculated at the PBE level.

Calculated values
- E: -3.7608 eV per atom
- Crystal system: tetragonal
- Formation energy without anion corrections: 462.3 meV per atom
- DOS(E_F): 3.9 states/eV/cell
- Excess energy over the best structure of this formula in the dataset: 2.50 eV/f.u.

Cell: 4.6140 5.4315 4.6140 Å, 90.00 90.00 90.00°
Atoms (fractional coordinates):
Pb: 0.0000 0.5000 0.0000
P: 0.0000 0.0000 0.0000
S: 0.0000 0.0000 0.5000
S: 0.5000 0.0000 0.0000
Al: 0.5000 0.5000 0.5000